# 1
# KCeBi2

KCeBi2 after structural relaxation (PBE, Alexandria).

Unit cell a=4.830 b=4.830 c=23.940 alpha=90.00 beta=90.00 gamma=120.00
Fractional coordinates of all 12 atoms:
K (0.000, 0.000, 0.000)
K (0.333, 0.667, 0.667)
K (0.667, 0.333, 0.333)
Ce (0.000, 0.000, 0.500)
Ce (0.333, 0.667, 0.167)
Ce (0.667, 0.333, 0.833)
Bi (0.000, 0.000, 0.231)
Bi (0.000, 0.000, 0.769)
Bi (0.333, 0.667, 0.435)
Bi (0.333, 0.667, 0.898)
Bi (0.667, 0.333, 0.102)
Bi (0.667, 0.333, 0.565)

Calculated values
- V: 40.31 Å³ per atom
- Distance to the lowest polymorph of the same formula: 105 meV/atom
- Electronic total energy: -4.112 eV/atom


# 2
# KCeBi2

KCeBi2 after structural relaxation (PBE, Alexandria).

Unit cell a=5.429 b=5.429 c=4.453 alpha=90.00 beta=90.00 gamma=90.00
Fractional coordinates of all 4 atoms:
K (0.000, 0.000, 0.000)
Ce (0.500, 0.500, 0.000)
Bi (0.000, 0.500, 0.500)
Bi (0.500, 0.000, 0.500)

Calculated values
- V: 32.81 Å³ per atom
- Distance to the lowest polymorph of the same formula: 121 meV/atom
- Electronic total energy: -4.096 eV/atom


# 3
# KCeBiO4

KCeBiO4 after structural relaxation (PBE, Alexandria).

Unit cell a=7.229 b=7.229 c=7.229 alpha=119.76 beta=119.61 gamma=90.54
Fractional coordinates of all 14 atoms:
K (0.376, 0.126, 0.250)
K (0.624, 0.874, 0.750)
Ce (0.000, 0.500, 0.500)
Ce (0.500, 0.500, 0.000)
Bi (0.000, 0.000, 0.500)
Bi (0.000, 0.500, 0.000)
O (0.186, 0.720, 0.466)
O (0.236, 0.289, 0.554)
O (0.236, 0.682, 0.946)
O (0.247, 0.280, 0.966)
O (0.753, 0.720, 0.034)
O (0.764, 0.318, 0.054)
O (0.764, 0.711, 0.446)
O (0.814, 0.280, 0.534)

Calculated values
- V: 19.17 Å³ per atom
- Electronic total energy: -6.591 eV/atom
- E_form (uncorrected): -2199 meV per atom


# 4
# KCe2Bi2O7

KCe2Bi2O7 after structural relaxation (PBE, Alexandria).

Unit cell a=10.647 b=10.647 c=10.647 alpha=155.55 beta=36.53 gamma=153.28
Fractional coordinates of all 12 atoms:
K (0.000, 0.000, 0.000)
Ce (0.450, 0.056, 0.394)
Ce (0.662, 0.056, 0.606)
Bi (0.291, 0.559, 0.732)
Bi (0.827, 0.559, 0.268)
O (0.186, 0.561, 0.624)
O (0.332, 0.060, 0.271)
O (0.446, 0.562, 0.883)
O (0.603, 0.103, 0.500)
O (0.679, 0.562, 0.117)
O (0.789, 0.060, 0.729)
O (0.937, 0.561, 0.376)

Calculated values
- V: 18.69 Å³ per atom
- Electronic total energy: -6.744 eV/atom
- E_form (uncorrected): -2124 meV per atom


# 5
# K2CeBi2O6

K2CeBi2O6 after structural relaxation (PBE, Alexandria).

Unit cell a=5.860 b=5.860 c=7.384 alpha=107.88 beta=107.88 gamma=66.57
Fractional coordinates of all 11 atoms:
K (0.199, 0.199, 0.124)
K (0.801, 0.801, 0.876)
Ce (0.000, 0.000, 0.500)
Bi (0.411, 0.411, 0.751)
Bi (0.589, 0.589, 0.249)
O (0.199, 0.701, 0.258)
O (0.226, 0.226, 0.493)
O (0.299, 0.801, 0.742)
O (0.701, 0.199, 0.258)
O (0.774, 0.774, 0.507)
O (0.801, 0.299, 0.742)

Calculated values
- V: 19.67 Å³ per atom
- Electronic total energy: -5.945 eV/atom
- E_form (uncorrected): -1796 meV per atom


# 6
# KSrCeBiO6

KSrCeBiO6 after structural relaxation (PBE, Alexandria).

Unit cell a=6.131 b=6.131 c=6.131 alpha=60.00 beta=60.00 gamma=60.00
Fractional coordinates of all 10 atoms:
K (0.000, 0.000, 0.000)
Sr (0.500, 0.500, 0.500)
Ce (0.750, 0.750, 0.750)
Bi (0.250, 0.250, 0.250)
O (0.005, 0.005, 0.495)
O (0.005, 0.495, 0.005)
O (0.005, 0.495, 0.495)
O (0.495, 0.005, 0.005)
O (0.495, 0.005, 0.495)
O (0.495, 0.495, 0.005)

Calculated values
- V: 16.30 Å³ per atom
- Electronic total energy: -6.397 eV/atom
- E_form (uncorrected): -2162 meV per atom


# 7
# K3CeBi2S6

K3CeBi2S6 after structural relaxation (PBE, Alexandria).

Unit cell a=7.256 b=7.256 c=7.779 alpha=98.93 beta=98.93 gamma=119.99
Fractional coordinates of all 12 atoms:
K (0.000, 0.000, 0.000)
K (0.331, 0.669, 0.000)
K (0.669, 0.331, 0.000)
Ce (0.500, 0.500, 0.500)
Bi (0.166, 0.834, 0.500)
Bi (0.834, 0.166, 0.500)
S (0.097, 0.431, 0.291)
S (0.236, 0.236, 0.709)
S (0.431, 0.097, 0.291)
S (0.569, 0.903, 0.709)
S (0.764, 0.764, 0.291)
S (0.903, 0.569, 0.709)

Calculated values
- V: 28.10 Å³ per atom
- Electronic total energy: -4.611 eV/atom
- E_form (uncorrected): -1132 meV per atom


# 8
# K3Ce2BiS6

K3Ce2BiS6 after structural relaxation (PBE, Alexandria).

Unit cell a=7.286 b=7.286 c=7.759 alpha=98.99 beta=98.99 gamma=119.99
Fractional coordinates of all 12 atoms:
K (0.000, 0.000, 0.000)
K (0.336, 0.664, 0.000)
K (0.664, 0.336, 0.000)
Ce (0.167, 0.833, 0.500)
Ce (0.833, 0.167, 0.500)
Bi (0.500, 0.500, 0.500)
S (0.097, 0.431, 0.292)
S (0.235, 0.235, 0.707)
S (0.431, 0.097, 0.292)
S (0.569, 0.903, 0.708)
S (0.765, 0.765, 0.293)
S (0.903, 0.569, 0.708)

Calculated values
- V: 28.24 Å³ per atom
- Electronic total energy: -5.112 eV/atom
- E_form (uncorrected): -1462 meV per atom


# 9
# K3CeBi3Se8

K3CeBi3Se8 after structural relaxation (PBE, Alexandria).

Unit cell a=9.304 b=9.304 c=9.304 alpha=54.67 beta=54.67 gamma=54.67
Fractional coordinates of all 15 atoms:
K (0.000, 0.500, 0.500)
K (0.500, 0.000, 0.500)
K (0.500, 0.500, 0.000)
Ce (0.500, 0.500, 0.500)
Bi (0.000, 0.000, 0.500)
Bi (0.000, 0.500, 0.000)
Bi (0.500, 0.000, 0.000)
Se (0.237, 0.237, 0.237)
Se (0.243, 0.730, 0.730)
Se (0.270, 0.270, 0.757)
Se (0.270, 0.757, 0.270)
Se (0.730, 0.243, 0.730)
Se (0.730, 0.730, 0.243)
Se (0.757, 0.270, 0.270)
Se (0.763, 0.763, 0.763)

Calculated values
- V: 33.25 Å³ per atom
- Electronic total energy: -4.222 eV/atom
- E_form (uncorrected): -972 meV per atom


# 10
# K3CeBi2Se6

K3CeBi2Se6 after structural relaxation (PBE, Alexandria).

Unit cell a=7.536 b=7.536 c=8.110 alpha=98.90 beta=98.90 gamma=120.00
Fractional coordinates of all 12 atoms:
K (0.000, 0.000, 0.000)
K (0.331, 0.669, 0.000)
K (0.669, 0.331, 0.000)
Ce (0.500, 0.500, 0.500)
Bi (0.166, 0.834, 0.500)
Bi (0.834, 0.166, 0.500)
Se (0.096, 0.430, 0.289)
Se (0.236, 0.236, 0.712)
Se (0.430, 0.096, 0.289)
Se (0.570, 0.904, 0.711)
Se (0.764, 0.764, 0.288)
Se (0.904, 0.570, 0.711)

Calculated values
- V: 31.61 Å³ per atom
- Electronic total energy: -4.256 eV/atom
- E_form (uncorrected): -1098 meV per atom


# 11
# K2CeBiSe4

K2CeBiSe4 after structural relaxation (PBE, Alexandria).

Unit cell a=7.536 b=4.376 c=8.090 alpha=90.00 beta=108.22 gamma=90.00
Fractional coordinates of all 8 atoms:
K (0.000, 0.000, 0.000)
K (0.500, 0.500, 0.000)
Ce (0.000, 0.500, 0.500)
Bi (0.500, 0.000, 0.500)
Se (0.236, 0.000, 0.710)
Se (0.262, 0.500, 0.289)
Se (0.738, 0.500, 0.711)
Se (0.764, 0.000, 0.290)

Calculated values
- V: 31.68 Å³ per atom
- Electronic total energy: -4.487 eV/atom
- E_form (uncorrected): -1244 meV per atom


# 12
# K3CeBi2Te6

K3CeBi2Te6 after structural relaxation (PBE, Alexandria).

Unit cell a=8.020 b=8.020 c=8.686 alpha=98.86 beta=98.86 gamma=120.00
Fractional coordinates of all 12 atoms:
K (0.000, 0.000, 0.000)
K (0.332, 0.668, 0.000)
K (0.668, 0.332, 0.000)
Ce (0.500, 0.500, 0.500)
Bi (0.167, 0.833, 0.500)
Bi (0.833, 0.167, 0.500)
Te (0.092, 0.429, 0.288)
Te (0.234, 0.234, 0.712)
Te (0.429, 0.092, 0.288)
Te (0.571, 0.908, 0.712)
Te (0.766, 0.766, 0.288)
Te (0.908, 0.571, 0.712)

Calculated values
- V: 38.36 Å³ per atom
- Electronic total energy: -3.844 eV/atom
- E_form (uncorrected): -858 meV per atom